Entry 1:
TbDy2Al (GGA-PBE, relaxed); crystal system = tetragonal; V = 27.1 A^3/atom; formation energy = -0.1871 eV/atom; VASP energy = -18.3 eV per cell; energy above the most stable polymorph in this dataset = 12 meV per atom
1.0
4.766 0.000 0.000
0.000 4.766 0.000
0.000 0.000 4.765
Tb Dy Al
1 2 1
Direct
0.000 0.000 0.000
0.000 0.500 0.500
0.500 0.000 0.500
0.500 0.500 0.000

---

Entry 2:
SmMgAgGe (GGA-PBE, relaxed); crystal system = cubic; V = 21.8 A^3/atom; formation energy = -0.4135 eV/atom; VASP energy = -15.4 eV per cell
1.0
0.000 3.520 3.520
3.520 0.000 3.520
3.520 3.520 0.000
Sm Mg Ag Ge
1 1 1 1
Direct
0.000 0.000 0.000
0.500 0.500 0.500
0.250 0.250 0.250
0.750 0.750 0.750

---

Entry 3:
Ti2SnO6 (GGA-PBE, relaxed); crystal system = trigonal; V = 11.1 A^3/atom; formation energy without anion corrections = -22.62 eV per formula unit; VASP energy = -72.2 eV per cell
1.0
5.065 0.000 0.000
-2.532 4.386 0.000
0.000 0.000 4.504
Ti Sn O
2 1 6
Direct
0.333 0.667 0.000
0.667 0.333 0.000
0.000 0.000 0.500
0.000 0.344 0.235
0.000 0.656 0.765
0.344 0.000 0.235
0.344 0.344 0.765
0.656 0.000 0.765
0.656 0.656 0.235

---

Entry 4:
AlNi2Ir2 (GGA-PBE, relaxed); crystal system = tetragonal; V = 14.2 A^3/atom; formation energy = 0.0030 eV/atom; VASP energy = -66.0 eV per cell
1.0
6.371 0.000 0.000
0.000 6.371 0.000
0.000 0.000 3.506
Al Ni Ir
2 4 4
Direct
0.000 0.000 0.000
0.500 0.500 0.000
0.161 0.339 0.500
0.339 0.839 0.500
0.661 0.161 0.500
0.839 0.661 0.500
0.139 0.639 0.000
0.361 0.139 0.000
0.639 0.861 0.000
0.861 0.361 0.000

---

Entry 5:
Ti4IrRu3 (GGA-PBE, relaxed); crystal system = orthorhombic; V = 14.7 A^3/atom; formation energy = -0.7845 eV/atom; VASP energy = -74.5 eV per cell
1.0
3.114 0.000 0.000
0.000 4.350 0.000
0.000 0.000 8.695
Ti Ir Ru
4 1 3
Direct
0.000 0.000 0.000
0.000 0.000 0.500
0.000 0.500 0.247
0.000 0.500 0.753
0.500 0.500 0.500
0.500 0.000 0.251
0.500 0.000 0.749
0.500 0.500 0.000

---

Entry 6:
As2Pb (GGA-PBE, relaxed); crystal system = orthorhombic; V = 26.0 A^3/atom; formation energy = 0.0558 eV/atom; VASP energy = -25.7 eV per cell; energy above the most stable polymorph in this dataset = 4 meV per atom
1.0
1.796 -7.811 0.000
1.796 7.811 0.000
0.000 0.000 5.559
As Pb
4 2
Direct
0.001 0.999 0.750
0.389 0.611 0.250
0.611 0.389 0.750
0.999 0.001 0.250
0.311 0.689 0.750
0.689 0.311 0.250

---

Entry 7:
CrCdIr2 (GGA-PBE, relaxed); crystal system = orthorhombic; V = 15.8 A^3/atom; formation energy = 0.2908 eV/atom; VASP energy = -27.1 eV per cell
1.0
-1.446 2.306 4.748
1.446 -2.306 4.748
1.446 2.306 -4.748
Cr Cd Ir
1 1 2
Direct
0.000 0.000 0.000
0.730 0.230 0.500
0.221 0.721 0.500
0.463 0.463 0.000

---

Entry 8:
Co3Cu (GGA-PBE, relaxed); crystal system = hexagonal; V = 11.2 A^3/atom; formation energy = 0.0629 eV/atom; VASP energy = -25.2 eV per cell
1.0
2.504 0.000 0.000
-1.252 2.168 0.000
0.000 0.000 8.221
Co Cu
3 1
Direct
0.000 0.000 0.000
0.333 0.667 0.241
0.333 0.667 0.759
0.000 0.000 0.500

---

Entry 9:
SnBrClF2 (GGA-PBE, relaxed); crystal system = tetragonal; V = 21.4 A^3/atom; formation energy without anion corrections = -5.97 eV per formula unit; VASP energy = -17.2 eV per cell
1.0
4.352 0.000 0.000
0.000 4.352 0.000
0.000 0.000 5.645
Sn Br Cl F
1 1 1 2
Direct
0.000 0.000 0.000
0.500 0.500 0.500
0.000 0.000 0.500
0.000 0.500 0.000
0.500 0.000 0.000

---

Entry 10:
Ce2PrOs (GGA-PBE, relaxed); crystal system = orthorhombic; V = 26.9 A^3/atom; formation energy = -0.1186 eV/atom; VASP energy = -56.7 eV per cell; energy above the most stable polymorph in this dataset = 1 meV per atom
1.0
1.925 -5.956 0.000
1.925 5.956 0.000
0.000 0.000 9.399
Ce Pr Os
4 2 2
Direct
0.143 0.857 0.560
0.143 0.857 0.940
0.857 0.143 0.060
0.857 0.143 0.440
0.427 0.573 0.750
0.573 0.427 0.250
0.291 0.709 0.250
0.709 0.291 0.750

---

Entry 11:
Ce2Zn3Cd6 (GGA-PBE, relaxed); crystal system = hexagonal; V = 23.2 A^3/atom; formation energy = -0.1326 eV/atom; VASP energy = -22.6 eV per cell
1.0
8.160 0.000 0.000
-4.080 7.067 0.000
0.000 0.000 4.427
Ce Zn Cd
2 3 6
Direct
0.333 0.667 0.000
0.667 0.333 0.000
0.000 0.388 0.500
0.388 0.000 0.500
0.612 0.612 0.500
0.000 0.206 0.000
0.000 0.708 0.500
0.206 0.000 0.000
0.292 0.292 0.500
0.708 0.000 0.500
0.794 0.794 0.000

---

Entry 12:
NpNi6H12 (GGA-PBE, relaxed); crystal system = trigonal; V = 6.9 A^3/atom; VASP energy = -87.8 eV per cell; energy above the most stable polymorph in this dataset = 0 meV per atom
1.0
4.591 2.650 1.803
-4.591 2.650 1.803
0.000 -5.301 1.803
Np Ni H
1 6 12
Direct
0.000 0.000 0.000
0.180 0.621 0.285
0.285 0.180 0.621
0.379 0.715 0.820
0.621 0.285 0.180
0.715 0.820 0.379
0.820 0.379 0.715
0.012 0.835 0.341
0.165 0.659 0.988
0.172 0.434 0.461
0.341 0.012 0.835
0.434 0.461 0.172
0.461 0.172 0.434
0.539 0.828 0.566
0.566 0.539 0.828
0.659 0.988 0.165
0.828 0.566 0.539
0.835 0.341 0.012
0.988 0.165 0.659